# 1
Ni2GePt4: relaxed, PBE-GGA.

Energy of formation in kJ/mol of atoms: -10.92
Excess energy over the best structure of this formula in the dataset in meV per atom: 0.0
Volume in Å³/atom: 15.17
Electronic total energy in eV per atom: -5.88

a b c (Å): 5.182 5.182 5.182
angles (deg): 106.54 106.54 115.52
Fractional positions:
1 Ni 0.000 0.500 0.500
2 Ni 0.500 0.000 0.500
3 Ge 0.000 0.000 0.000
4 Pt 0.000 0.000 0.500
5 Pt 0.000 0.500 0.000
6 Pt 0.500 0.000 0.000
7 Pt 0.500 0.500 0.500

***

# 2
CuIr: relaxed, PBE-GGA.

Energy of formation in kJ/mol of atoms: 80.80
Volume in Å³/atom: 14.84
Electronic total energy in eV per atom: -5.64

a b c (Å): 4.875 4.875 4.997
angles (deg): 90.00 90.00 90.00
Fractional positions:
1 Cu 0.186 0.186 0.000
2 Cu 0.314 0.686 0.500
3 Cu 0.686 0.314 0.500
4 Cu 0.814 0.814 0.000
5 Ir 0.185 0.185 0.500
6 Ir 0.315 0.685 0.000
7 Ir 0.685 0.315 0.000
8 Ir 0.815 0.815 0.500

***

# 3
Pr3NdOs: relaxed, PBE-GGA.

Energy of formation in kJ/mol of atoms: 14.82
Excess energy over the best structure of this formula in the dataset in meV per atom: 212.6
Volume in Å³/atom: 36.35
Electronic total energy in eV per atom: -5.91

a b c (Å): 5.664 5.664 5.664
angles (deg): 90.00 90.00 90.00
Fractional positions:
1 Pr 0.000 0.000 0.500
2 Pr 0.000 0.500 0.000
3 Pr 0.500 0.000 0.000
4 Nd 0.500 0.500 0.500
5 Os 0.000 0.000 0.000

***

# 4
Hf3Fe2Ni: relaxed, PBE-GGA.

Energy of formation in kJ/mol of atoms: -33.32
Volume in Å³/atom: 15.63
Electronic total energy in eV per atom: -9.11

a b c (Å): 3.116 3.116 9.656
angles (deg): 90.00 90.00 90.00
Fractional positions:
1 Hf 0.000 0.000 0.000
2 Hf 0.000 0.000 0.329
3 Hf 0.000 0.000 0.671
4 Fe 0.500 0.500 0.165
5 Fe 0.500 0.500 0.835
6 Ni 0.500 0.500 0.500

***

# 5
YErCoNi: relaxed, PBE-GGA.

Energy of formation in kJ/mol of atoms: -26.04
Excess energy over the best structure of this formula in the dataset in meV per atom: 51.7
Volume in Å³/atom: 18.73
Electronic total energy in eV per atom: -6.25

a b c (Å): 4.732 4.732 4.732
angles (deg): 60.00 60.00 60.00
Fractional positions:
1 Y 0.000 0.000 0.000
2 Er 0.500 0.500 0.500
3 Co 0.250 0.250 0.250
4 Ni 0.750 0.750 0.750

***

Q: volume of number 2 (CuIr)?
A: 14.84 Å³/atom